## Ba2NdWN4 (PBE)

Data for Ba2NdWN4 after structural relaxation. Values from VASP.

```
&SYSTEM
  ibrav = 0, nat = 16, ntyp = 4
/
ATOMIC_SPECIES
Ba 137.33 Ba.upf
Nd 144.24 Nd.upf
W 183.84 W.upf
N 14.01 N.upf
CELL_PARAMETERS angstrom
7.8157 0.0000 0.0000
0.0000 7.3808 0.0000
0.0000 0.0000 5.9825
ATOMIC_POSITIONS crystal
Ba 0.2492 0.1599 0.0000
Ba 0.2508 0.8401 0.5000
Ba 0.7492 0.8401 0.5000
Ba 0.7508 0.1599 0.0000
Nd 0.0000 0.6478 0.0142
Nd 0.5000 0.3522 0.5142
W 0.0000 0.3491 0.5300
W 0.5000 0.6509 0.0300
N 0.0000 0.3710 0.8437
N 0.0000 0.5864 0.4025
N 0.2060 0.2223 0.4622
N 0.2940 0.7777 0.9622
N 0.5000 0.4136 0.9025
N 0.5000 0.6290 0.3437
N 0.7060 0.7777 0.9622
N 0.7940 0.2223 0.4622
```

Values from the calculation:
ρ, Mg/m³: 6.34
Formation energy (no corrections), eV/atom: -0.88

***

## BaNdWN3 (PBE)

Data for BaNdWN3 after structural relaxation. Values from VASP.

```
&SYSTEM
  ibrav = 0, nat = 12, ntyp = 4
/
ATOMIC_SPECIES
Ba 137.33 Ba.upf
Nd 144.24 Nd.upf
W 183.84 W.upf
N 14.01 N.upf
CELL_PARAMETERS angstrom
6.9055 -2.0159 0.0000
6.9055 2.0159 0.0000
-2.0554 0.0000 7.4141
ATOMIC_POSITIONS crystal
Ba 0.1398 0.1398 0.0713
Ba 0.8602 0.8602 0.9287
Nd 0.1586 0.1586 0.5741
Nd 0.8414 0.8414 0.4259
W 0.4992 0.4992 0.3149
W 0.5008 0.5008 0.6851
N 0.0044 0.0044 0.2978
N 0.3451 0.3451 0.6432
N 0.3557 0.3557 0.2041
N 0.6443 0.6443 0.7959
N 0.6549 0.6549 0.3568
N 0.9956 0.9956 0.7022
```

Values from the calculation:
ρ, Mg/m³: 8.16
Formation energy (no corrections), eV/atom: -0.86

***

- Look up the ρ of the second one.
  8.16 Mg/m³

***

- The highest ρ belongs to which entry?
  BaNdWN3

***

- Which value of ρ does entry 2 give?
  8.16 Mg/m³

***

- Look up the formation energy (no corrections) of the second one.
  -0.86 eV/atom